Compound: YScPt2N
Source: Alexandria
Functional: PBE
Structure: optimized geometry

Values from the calculation:
energy: -6.2011 eV/atom
space-group type: P4/mmm, No. 123

Lattice parameters (Å, degrees): 5.176 5.176 4.234 90.00 90.00 90.00
Positions (direct):
Y  0.000  0.000  0.000
Sc  0.500  0.500  0.500
Pt  0.000  0.500  0.000
Pt  0.500  0.000  0.000
N  0.000  0.000  0.500

***

Compound: Cd2In
Source: Alexandria
Functional: PBE
Structure: optimized geometry

Values from the calculation:
space-group type: Pnma, No. 62
DFT formation energy: 0.03 eV/atom

Lattice parameters (Å, degrees): 6.132 4.727 10.062 90.00 90.00 90.00
Positions (direct):
Cd  0.121  0.250  0.081
Cd  0.123  0.250  0.756
Cd  0.377  0.750  0.256
Cd  0.379  0.750  0.581
Cd  0.621  0.250  0.419
Cd  0.623  0.250  0.744
Cd  0.877  0.750  0.244
Cd  0.879  0.750  0.919
In  0.120  0.250  0.410
In  0.380  0.750  0.910
In  0.620  0.250  0.090
In  0.880  0.750  0.590

***

Compound: LaPm3HoTh
Source: Alexandria
Functional: PBE
Structure: optimized geometry

Values from the calculation:
space-group type: P2_1/m, No. 11
DFT formation energy: 0.04 eV/atom

Lattice parameters (Å, degrees): 8.146 5.134 10.299 90.00 108.68 90.00
Positions (direct):
La  0.172  0.250  0.292
La  0.828  0.750  0.708
Pm  0.173  0.750  0.546
Pm  0.180  0.250  0.795
Pm  0.181  0.750  0.044
Pm  0.819  0.250  0.956
Pm  0.820  0.750  0.205
Pm  0.827  0.250  0.454
Ho  0.500  0.250  0.629
Ho  0.500  0.750  0.371
Th  0.499  0.750  0.878
Th  0.501  0.250  0.122

***

Compound: CaTcSe2
Source: Alexandria
Functional: PBE
Structure: optimized geometry

Values from the calculation:
E above lowest polymorph: 339.1 meV/atom
space-group type: P4/mmm, No. 123

Lattice parameters (Å, degrees): 4.799 4.799 3.310 90.00 90.00 90.00
Positions (direct):
Ca  0.000  0.000  0.000
Tc  0.500  0.500  0.000
Se  0.000  0.500  0.500
Se  0.500  0.000  0.500

***

Compound: BIrI2N
Source: Alexandria
Functional: PBE
Structure: optimized geometry

Values from the calculation:
E above lowest polymorph: 381.2 meV/atom
space-group type: P4/mmm, No. 123

Lattice parameters (Å, degrees): 5.625 5.625 3.714 90.00 90.00 90.00
Positions (direct):
B  0.000  0.000  0.000
Ir  0.500  0.500  0.500
I  0.000  0.500  0.500
I  0.500  0.000  0.500
N  0.500  0.500  0.000

***

Compound: BaNdNp2O8
Source: Alexandria
Functional: PBE
Structure: optimized geometry

Values from the calculation:
energy: -8.8873 eV/atom
space-group type: I-4, No. 82

Lattice parameters (Å, degrees): 6.768 6.768 6.768 130.65 130.65 72.38
Positions (direct):
Ba  0.000  0.000  0.000
Nd  0.250  0.750  0.500
Np  0.500  0.500  0.000
Np  0.750  0.250  0.500
O  0.090  0.141  0.524
O  0.180  0.609  0.014
O  0.391  0.404  0.570
O  0.434  0.910  0.051
O  0.596  0.166  0.986
O  0.618  0.566  0.476
O  0.834  0.820  0.430
O  0.859  0.382  0.949

***

Compound: RhS8
Source: Alexandria
Functional: PBE
Structure: optimized geometry

Values from the calculation:
energy: -4.0287 eV/atom
space-group type: I4/mmm, No. 139

Lattice parameters (Å, degrees): 6.505 6.505 6.505 113.90 113.90 100.94
Positions (direct):
Rh  0.000  0.000  0.000
S  0.000  0.322  0.322
S  0.000  0.678  0.678
S  0.322  0.000  0.322
S  0.346  0.346  0.692
S  0.346  0.654  0.000
S  0.654  0.346  0.000
S  0.654  0.654  0.308
S  0.678  0.000  0.678

***

Compound: Th4InHg2
Source: Alexandria
Functional: PBE
Structure: optimized geometry

Values from the calculation:
E above lowest polymorph: 169.5 meV/atom
space-group type: R-3m, No. 166
DFT formation energy: 0.13 eV/atom

Lattice parameters (Å, degrees): 11.590 11.590 11.590 23.97 23.97 23.97
Positions (direct):
Th  0.117  0.117  0.117
Th  0.305  0.305  0.305
Th  0.695  0.695  0.695
Th  0.883  0.883  0.883
In  0.500  0.500  0.500
Hg  0.405  0.405  0.405
Hg  0.595  0.595  0.595

***

Compound: HgIrAu2
Source: Alexandria
Functional: PBE
Structure: optimized geometry

Values from the calculation:
space-group type: Imm2, No. 44
DFT formation energy: 0.36 eV/atom

Lattice parameters (Å, degrees): 5.685 5.685 5.685 149.54 128.91 60.65
Positions (direct):
Hg  0.000  0.000  0.000
Ir  0.243  0.743  0.500
Au  0.483  0.483  0.000
Au  0.739  0.239  0.500

***

Compound: PmGa2Ge
Source: Alexandria
Functional: PBE
Structure: optimized geometry

Values from the calculation:
E above lowest polymorph: 198.7 meV/atom
space-group type: P4/mmm, No. 123
DFT formation energy: -0.31 eV/atom

Lattice parameters (Å, degrees): 3.608 3.608 6.531 90.00 90.00 90.00
Positions (direct):
Pm  0.000  0.000  0.000
Ga  0.500  0.500  0.299
Ga  0.500  0.500  0.701
Ge  0.000  0.000  0.500

***

Compound: La2MgIn6Ag
Source: Alexandria
Functional: PBE
Structure: optimized geometry

Values from the calculation:
space-group type: R-3m, No. 166
DFT formation energy: -0.19 eV/atom

Lattice parameters (Å, degrees): 13.350 13.350 13.350 30.88 30.88 30.88
Positions (direct):
La  0.108  0.108  0.108
La  0.284  0.284  0.284
La  0.716  0.716  0.716
La  0.892  0.892  0.892
Mg  0.427  0.427  0.427
Mg  0.573  0.573  0.573
In  0.069  0.665  0.665
In  0.224  0.224  0.661
In  0.224  0.661  0.224
In  0.335  0.335  0.931
In  0.335  0.931  0.335
In  0.339  0.776  0.776
In  0.661  0.224  0.224
In  0.665  0.069  0.665
In  0.665  0.665  0.069
In  0.776  0.339  0.776
In  0.776  0.776  0.339
In  0.931  0.335  0.335
Ag  0.000  0.000  0.000
Ag  0.500  0.500  0.500

***

Compound: Nd5Mg2Ru
Source: Alexandria
Functional: PBE
Structure: optimized geometry

Values from the calculation:
space-group type: Cm, No. 8
DFT formation energy: 0.02 eV/atom

Lattice parameters (Å, degrees): 6.850 6.850 6.842 110.12 110.12 108.11
Positions (direct):
Nd  0.000  0.000  0.000
Nd  0.000  0.000  0.493
Nd  0.506  0.506  0.509
Nd  0.507  0.999  0.001
Nd  0.999  0.507  0.001
Mg  0.009  0.510  0.500
Mg  0.510  0.009  0.500
Ru  0.656  0.656  0.002

***

no.,magnetization (Bohr magnetons per cell)
1,0.00
2,0.00
3,0.00
4,1.50
5,0.00
6,3.00
7,0.00
8,0.01
9,0.00
10,0.00
11,0.00
12,0.00